Record 1
4
Lattice="1.768 1.021 6.037 -1.768 1.021 6.037 0.000 -2.042 6.037" Properties=species:S:1:pos:R:3 comment="PBE+U CaVO2, relaxed" de_polymorph_mev_per_atom=29 pbc="T T T"
Ca 0.000 0.000 0.000
V 0.000 0.000 9.055
O 0.000 0.000 7.237
O 0.000 0.000 10.873

=====

Record 2
41
Lattice="10.205 0.000 0.000 -5.102 8.838 0.000 0.000 0.000 6.858" Properties=species:S:1:pos:R:3 comment="PBE+U Ca10V6O25, relaxed" de_polymorph_mev_per_atom=0 pbc="T T T"
Ca 0.000 0.000 1.674
Ca 0.000 0.000 5.185
Ca 0.000 5.892 1.724
Ca 0.000 5.892 5.134
Ca 2.235 2.750 3.429
Ca 4.247 0.902 0.000
Ca 3.760 4.709 0.000
Ca 6.705 0.560 3.429
Ca 7.300 3.227 0.000
Ca 6.367 5.527 3.429
V -1.266 2.710 3.429
V -2.796 6.383 0.000
V -2.123 8.578 3.429
V 0.973 3.225 0.000
V 1.823 8.067 0.000
V 3.388 6.386 3.429
O -2.878 5.318 1.376
O -2.878 5.318 5.482
O -4.048 7.568 0.000
O -3.728 7.808 3.429
O 0.205 1.705 3.429
O 0.572 1.548 0.000
O -0.840 4.387 3.429
O -0.463 4.220 0.000
O -1.216 7.128 0.000
O -0.883 7.371 3.429
O 3.038 0.833 2.084
O 3.038 0.833 4.774
O 1.936 3.687 1.376
O 1.936 3.687 5.482
O 1.723 5.917 3.429
O 1.679 6.326 0.000
O 0.942 8.671 1.376
O 0.942 8.671 5.482
O 5.102 2.946 0.000
O 4.305 5.790 2.084
O 4.305 5.790 4.774
O 3.524 8.162 3.429
O 3.476 8.559 0.000
O 7.964 2.214 2.084
O 7.964 2.214 4.774

=====

Size of the total moment? In order: 2.1 0.1 μB per cell.